Record 1
Entry from OQMD: a relaxed structure of HfTaAg (PBE-GGA).

abc: 4.522 4.522 4.522
angles: 60.00 60.00 60.00
Fractional positions:
Ta 0.750 0.750 0.750
Hf 0.250 0.250 0.250
Ag 0.000 0.000 0.000

Summary:
energy relative to the elements	0.84	eV/atom
uncorrected energy	-22.1	eV per formula unit
excess energy over the best structure of this formula in the dataset	0.00	eV per formula unit
total moment	0.0	μB/cell



Record 2
Entry from OQMD: a relaxed structure of TbHfAg (PBE-GGA).

abc: 4.757 4.757 4.757
angles: 60.00 60.00 60.00
Fractional positions:
Ag 0.250 0.250 0.250
Hf 0.000 0.000 0.000
Tb 0.750 0.750 0.750

Summary:
energy relative to the elements	0.81	eV/atom
uncorrected energy	-15.0	eV per formula unit
total moment	0.1	μB/cell



Record 3
Entry from OQMD: a relaxed structure of Hf3Tc2Ag (PBE-GGA).

abc: 3.285 3.285 10.202
angles: 90.00 90.00 90.00
Fractional positions:
Hf 0.500 0.500 0.310
Hf 0.500 0.500 0.000
Hf 0.500 0.500 0.690
Tc 0.000 0.000 0.835
Tc 0.000 0.000 0.165
Ag 0.000 0.000 0.500

Summary:
energy relative to the elements	-0.40	eV/atom
uncorrected energy	-55.8	eV per formula unit
total moment	0.0	μB/cell



Record 4
Entry from OQMD: a relaxed structure of HfAg4Te4 (PBE-GGA).

abc: 7.980 7.980 7.980
angles: 131.90 131.90 70.38
Fractional positions:
Ag 0.757 0.757 0.000
Ag 0.500 0.000 0.500
Ag 0.243 0.243 0.000
Ag 0.000 0.500 0.500
Te 0.875 0.875 0.504
Te 0.125 0.629 0.000
Te 0.371 0.371 0.496
Te 0.629 0.125 0.000
Hf 0.000 0.000 0.000

Summary:
uncorrected energy	-36.8	eV per formula unit
total moment	0.0	μB/cell



Record 5
Entry from OQMD: a relaxed structure of Hf2AgTe (PBE-GGA).

abc: 5.003 5.003 5.003
angles: 60.00 60.00 60.00
Fractional positions:
Hf 0.250 0.250 0.250
Hf 0.000 0.000 0.000
Te 0.750 0.750 0.750
Ag 0.500 0.500 0.500

Summary:
uncorrected energy	-24.3	eV per formula unit
total moment	2.0	μB/cell



Record 6
Entry from OQMD: a relaxed structure of Hf3AgTe5 (PBE-GGA).

abc: 6.264 6.264 8.298
angles: 90.00 90.00 120.00
Fractional positions:
Hf 0.500 0.500 0.500
Hf 0.000 0.500 0.500
Hf 0.500 0.000 0.500
Te 0.333 0.667 0.770
Te 0.667 0.333 0.230
Te 0.667 0.333 0.770
Te 0.333 0.667 0.230
Te 0.000 0.000 0.500
Ag 0.000 0.000 0.000

Summary:
uncorrected energy	-52.0	eV per formula unit
total moment	0.1	μB/cell